VASP calculation (PBE-GGA) on a relaxed Bi3As5Au12 crystal.

```
80
Lattice="-7.913 7.913 7.913 7.913 -7.913 7.913 7.913 7.913 -7.913" Properties=species:S:1:pos:R:3 pbc="T T T"
Bi 3.957 1.978 0.000
Bi 7.913 3.957 -1.978
Bi 1.978 0.000 3.957
Bi 9.891 0.000 3.957
Bi 0.000 3.957 1.978
Bi 3.957 -1.978 7.913
Bi 3.957 9.891 0.000
Bi 7.913 3.957 5.935
Bi -1.978 7.913 3.957
Bi 5.935 7.913 3.957
Bi 0.000 3.957 9.891
Bi 3.957 5.935 7.913
As 0.000 0.000 0.000
As 3.957 3.957 -3.957
As 3.957 -3.957 3.957
As 7.913 0.000 0.000
As 11.870 1.978 0.000
As 7.913 -3.957 5.935
As 5.935 7.913 -3.957
As 5.935 0.000 3.957
As 3.957 5.935 0.000
As 7.913 3.957 1.978
As -3.957 3.957 3.957
As 0.000 7.913 0.000
As 0.000 0.000 7.913
As 3.957 3.957 3.957
As 0.000 3.957 5.935
As 3.957 1.978 7.913
As 1.978 7.913 3.957
As 1.978 0.000 11.870
As 0.000 11.870 1.978
As -3.957 5.935 7.913
Au 2.353 -0.362 1.070
Au 9.516 5.026 -4.318
Au 7.551 -1.070 2.353
Au 12.232 -1.603 2.887
Au 10.266 0.362 1.070
Au 9.516 -2.887 4.318
Au 1.070 2.353 -0.362
Au 10.800 3.595 -1.603
Au 5.026 4.318 -1.603
Au 6.843 2.353 0.362
Au -0.362 1.070 2.353
Au 4.318 -1.603 5.026
Au 7.551 6.843 -2.353
Au 4.318 1.603 2.887
Au 6.843 -2.353 7.551
Au 5.026 -4.318 9.516
Au 2.887 4.318 1.603
Au 8.983 5.560 0.362
Au 2.353 7.551 -1.070
Au 9.516 2.887 3.595
Au 4.318 9.516 -2.887
Au 7.551 1.070 5.560
Au 1.603 2.887 4.318
Au 2.353 0.362 6.843
Au 5.560 7.551 1.070
Au 6.310 5.026 3.595
Au 0.362 6.843 2.353
Au 3.595 -1.603 10.800
Au -1.603 5.026 4.318
Au 5.560 0.362 8.983
Au -1.070 2.353 7.551
Au 5.026 3.595 6.310
Au 2.887 12.232 -1.603
Au 1.070 10.266 0.362
Au 3.595 6.310 5.026
Au 0.362 1.070 10.266
Au 3.595 9.516 2.887
Au 8.275 6.843 5.560
Au 1.070 5.560 7.551
Au 2.887 3.595 9.516
Au -2.887 4.318 9.516
Au 6.843 5.560 8.275
Au -1.603 10.800 3.595
Au -2.353 7.551 6.843
Au -4.318 9.516 5.026
Au 0.362 8.983 5.560
Au -1.603 2.887 12.232
Au 5.560 8.275 6.843
```

## Properties
density of states at the Fermi level: 57.79 states/eV/cell
mass density: 11.3 g/cm3
symmetry: Ia-3d (230)
calculated formation energy: 0.158 eV per atom
size of the total moment: 0.00 μB/f.u.